# 1
## Sr2Zn6NiRh (PBE)

Data for a relaxed Sr2Zn6NiRh crystal.

Cell lengths 6.747, 6.747, 6.747 Å; angles 120.09, 120.09, 89.85 degrees
Fractional coordinates of all 10 atoms:
Sr  0.250  0.750  0.500
Sr  0.750  0.250  0.500
Zn  0.244  0.244  0.000
Zn  0.244  0.244  0.488
Zn  0.244  0.756  0.000
Zn  0.756  0.244  0.000
Zn  0.756  0.756  0.000
Zn  0.756  0.756  0.512
Ni  0.000  0.000  0.000
Rh  0.500  0.500  0.000

Calculated values
The space-group type is I4/mmm. The formation energy comes out at -2.6 eV/f.u.

# 2
## TaNi2Rh8 (PBE)

Data for a relaxed TaNi2Rh8 crystal.

Cell lengths 6.412, 6.412, 4.036 Å; angles 90.00, 90.00, 104.33 degrees
Fractional coordinates of all 11 atoms:
Ta  0.000  0.000  0.000
Ni  0.386  0.614  0.500
Ni  0.614  0.386  0.500
Rh  0.035  0.303  0.500
Rh  0.259  0.741  0.000
Rh  0.303  0.035  0.500
Rh  0.333  0.333  0.000
Rh  0.667  0.667  0.000
Rh  0.697  0.965  0.500
Rh  0.741  0.259  0.000
Rh  0.965  0.697  0.500

Calculated values
The space-group type is Cmmm. The formation energy comes out at 0.2 eV/f.u.

# 3
## TaNi2Rh6 (PBE)

Data for a relaxed TaNi2Rh6 crystal.

Cell lengths 5.085, 5.085, 7.761 Å; angles 121.26, 121.26, 50.40 degrees
Fractional coordinates of all 9 atoms:
Ta  0.000  0.000  0.000
Ni  0.387  0.387  0.710
Ni  0.613  0.613  0.290
Rh  0.066  0.066  0.395
Rh  0.284  0.284  0.939
Rh  0.331  0.331  0.324
Rh  0.669  0.669  0.676
Rh  0.716  0.716  0.061
Rh  0.934  0.934  0.605

Calculated values
The space-group type is C2/m. The formation energy comes out at -0.7 eV/f.u.

# 4
## TaNiRh3 (PBE)

Data for a relaxed TaNiRh3 crystal.

Cell lengths 4.691, 4.691, 4.691 Å; angles 90.00, 90.00, 90.00 degrees
Fractional coordinates of all 5 atoms:
Ta  0.000  0.000  0.000
Ni  0.500  0.500  0.500
Rh  0.000  0.000  0.500
Rh  0.000  0.500  0.000
Rh  0.500  0.000  0.000

Calculated values
The space-group type is Pm-3m. The formation energy comes out at 6.0 eV/f.u. The value obtained for the energy above the most stable polymorph in this dataset is 1087 meV per atom.